Entry one
Here is Pr2PuPb after structural relaxation from the Alexandria database. Energies are from GGA-PBE.

Properties
- DOS(E_F) (states/eV per cell) = 12.29

Structure (POSCAR):
```
Pr2PuPb
1.0
4.733 0.000 0.000
0.000 5.080 0.000
0.000 0.000 5.080
Pb Pr Pu
1 2 1
direct
0.500 0.000 0.000 Pb
0.000 0.000 0.500 Pr
0.000 0.500 0.000 Pr
0.500 0.500 0.500 Pu
```


Entry two
Here is Pr2PuPb after structural relaxation from the Alexandria database. Energies are from GGA-PBE.

Properties
- DOS(E_F) (states/eV per cell) = 12.65

Structure (POSCAR):
```
Pr2PuPb
1.0
-2.199 -2.539 0.968
0.877 -3.349 -0.481
4.750 -2.204 11.317
Pb Pr Pu
1 2 1
direct
0.500 0.500 0.500 Pb
0.090 0.090 0.729 Pr
0.910 0.910 0.271 Pr
0.000 0.000 0.000 Pu
```


Which is less stable than every other structure shown? entry two is.